(1)
Material: MgAl2Zn
Method: DFT, SCAN
State: single point on PBEsol structure

Output
* space group: P2/m, No. 10
* ρ: 3.4 g/cm³

Lattice parameters (Å, degrees): 2.905 4.423 5.516 90.00 102.13 90.00
Element x y z (fractional)
Mg  0.000  0.000  0.000
Al  0.387  0.500  0.740
Al  0.613  0.500  0.260
Zn  0.500  0.000  0.500

=====

(2)
Material: MgAl2Zn
Method: DFT, SCAN
State: single point on PBEsol structure

Output
* space group: P4mm, No. 99
* ρ: 3.5 g/cm³

Lattice parameters (Å, degrees): 3.156 3.156 6.900 90.00 90.00 90.00
Element x y z (fractional)
Mg  0.000  0.000  0.000
Al  0.000  0.000  0.474
Al  0.500  0.500  0.715
Zn  0.500  0.500  0.256

=====

(3)
Material: MgZr2Al
Method: DFT, SCAN
State: single point on PBEsol structure

Output
* space group: I-4m2, No. 119
* ρ: 4.8 g/cm³

Lattice parameters (Å, degrees): 5.455 5.455 5.455 134.96 134.96 65.59
Element x y z (fractional)
Mg  0.000  0.000  0.000
Zr  0.500  0.500  0.000
Zr  0.750  0.250  0.500
Al  0.250  0.750  0.500

=====

Formation enthalpy at 0 K readings, ordered: 0.034, 0.012, -0.142 eV/atom